Entry 1:
Material: SrReW2
Method: DFT, PBE
State: relaxed

Relative energy among the computed polymorphs   413.5 meV per atom
D(E_F)   3.35 states/eV/cell
Total DFT energy (no corrections)   -8.847 eV/atom
Size of the total moment   0.0 Bohr magnetons per cell
Symmetry   F-43m, No. 216
Calculated formation energy   448 kJ/mol of formula units

Cell and atoms, written as POSCAR:
```
SrReW2
1.0
-0.811 -1.820 4.245
1.926 -4.105 1.198
3.437 -0.136 3.188
Sr W Re
1 2 1
Cartesian
3.413 -4.546 6.474
0.000 0.000 0.000
1.138 -1.515 2.158
2.276 -3.031 4.316
```

Entry 2:
Material: CdCuHPt2
Method: DFT, PBE
State: relaxed

Relative energy among the computed polymorphs   0.0 meV per atom
D(E_F)   1.02 states/eV/cell
Total DFT energy (no corrections)   -4.249 eV/atom
Size of the total moment   0.0 Bohr magnetons per cell
Symmetry   P4/mmm, No. 123

Cell and atoms, written as POSCAR:
```
CdCuHPt2
1.0
4.051 0.000 0.000
0.000 4.051 0.000
0.000 0.000 4.011
Cd H Cu Pt
1 1 1 2
Cartesian
2.025 2.025 2.005
0.000 0.000 0.000
0.000 0.000 2.005
0.000 2.025 0.000
2.025 0.000 0.000
```